Record 1
VASP calculation (SCAN) on a PBEsol-optimized structure of AlAg2Br.

CIF file:
```
data_AlAg2Br
_chemical_formula_sum 'Al1 Ag2 Br1'
_cell_length_a 3.2189
_cell_length_b 3.2189
_cell_length_c 8.0152
_cell_angle_alpha 90.00
_cell_angle_beta 90.00
_cell_angle_gamma 111.34
_symmetry_space_group_name_H-M 'P 1'
_symmetry_Int_Tables_number 1
_symmetry_space_group_name_Hall 'P 1'
loop_
_atom_site_label
_atom_site_type_symbol
_atom_site_fract_x
_atom_site_fract_y
_atom_site_fract_z
Al1 Al 0.0000 0.0000 0.0000
Ag1 Ag 0.5000 0.5000 0.2326
Ag2 Ag 0.5000 0.5000 0.7674
Br1 Br 0.0000 0.0000 0.5000
```

The total energy is -22.461 eV per atom. For the total magnetic moment, the calculation gives 0.000 μB/f.u. The energy above the lowest structure with this stoichiometry comes out at 0 meV/atom. The density of states at the Fermi level comes out at 0.89 states/eV per cell. The space-group type is Cmmm, No. 65.

=====

Record 2
VASP calculation (SCAN) on a PBEsol-optimized structure of Cr21W2C6.

CIF file:
```
data_Cr21W2C6
_chemical_formula_sum 'Cr21 W2 C6'
_cell_length_a 7.4414
_cell_length_b 7.4414
_cell_length_c 7.4414
_cell_angle_alpha 60.00
_cell_angle_beta 60.00
_cell_angle_gamma 60.00
_symmetry_space_group_name_H-M 'P 1'
_symmetry_Int_Tables_number 1
_symmetry_space_group_name_Hall 'P 1'
loop_
_atom_site_label
_atom_site_type_symbol
_atom_site_fract_x
_atom_site_fract_y
_atom_site_fract_z
Cr1 Cr 0.0000 0.0000 0.0000
Cr2 Cr 0.0000 0.0000 0.3384
Cr3 Cr 0.0000 0.0000 0.6616
Cr4 Cr 0.0000 0.3384 0.0000
Cr5 Cr 0.0000 0.3384 0.6616
Cr6 Cr 0.0000 0.6616 0.0000
Cr7 Cr 0.0000 0.6616 0.3384
Cr8 Cr 0.1545 0.6152 0.6152
Cr9 Cr 0.3384 0.0000 0.0000
Cr10 Cr 0.3384 0.0000 0.6616
Cr11 Cr 0.3384 0.6616 0.0000
Cr12 Cr 0.3848 0.3848 0.3848
Cr13 Cr 0.3848 0.3848 0.8455
Cr14 Cr 0.3848 0.8455 0.3848
Cr15 Cr 0.6152 0.1545 0.6152
Cr16 Cr 0.6152 0.6152 0.1545
Cr17 Cr 0.6152 0.6152 0.6152
Cr18 Cr 0.6616 0.0000 0.0000
Cr19 Cr 0.6616 0.0000 0.3384
Cr20 Cr 0.6616 0.3384 0.0000
Cr21 Cr 0.8455 0.3848 0.3848
W1 W 0.2500 0.2500 0.2500
W2 W 0.7500 0.7500 0.7500
C1 C 0.2741 0.2741 0.7259
C2 C 0.2741 0.7259 0.2741
C3 C 0.2741 0.7259 0.7259
C4 C 0.7259 0.2741 0.2741
C5 C 0.7259 0.2741 0.7259
C6 C 0.7259 0.7259 0.2741
```

The total energy is -20.278 eV per atom. For the total magnetic moment, the calculation gives 0.001 μB/f.u. The energy of formation comes out at -0.07 eV/atom. The density of states at the Fermi level comes out at 21.78 states/eV per cell. The space-group type is Fm-3m, No. 225.

=====

Record 3
VASP calculation (SCAN) on a PBEsol-optimized structure of LaCo8P5.

CIF file:
```
data_LaCo8P5
_chemical_formula_sum 'La2 Co16 P10'
_cell_length_a 3.5186
_cell_length_b 10.3057
_cell_length_c 9.1655
_cell_angle_alpha 90.00
_cell_angle_beta 90.00
_cell_angle_gamma 90.00
_symmetry_space_group_name_H-M 'P 1'
_symmetry_Int_Tables_number 1
_symmetry_space_group_name_Hall 'P 1'
loop_
_atom_site_label
_atom_site_type_symbol
_atom_site_fract_x
_atom_site_fract_y
_atom_site_fract_z
La1 La 0.2500 0.2500 0.1775
La2 La 0.7500 0.7500 0.8225
Co1 Co 0.2500 0.0050 0.8894
Co2 Co 0.2500 0.0828 0.4787
Co3 Co 0.2500 0.2500 0.8485
Co4 Co 0.2500 0.4172 0.4787
Co5 Co 0.2500 0.4950 0.8894
Co6 Co 0.2500 0.6100 0.3042
Co7 Co 0.2500 0.7500 0.5465
Co8 Co 0.2500 0.8900 0.3042
Co9 Co 0.7500 0.1100 0.6958
Co10 Co 0.7500 0.2500 0.4535
Co11 Co 0.7500 0.3900 0.6958
Co12 Co 0.7500 0.5050 0.1106
Co13 Co 0.7500 0.5828 0.5213
Co14 Co 0.7500 0.7500 0.1515
Co15 Co 0.7500 0.9172 0.5213
Co16 Co 0.7500 0.9950 0.1106
P1 P 0.2500 0.2500 0.6145
P2 P 0.2500 0.5561 0.6608
P3 P 0.2500 0.6301 0.0679
P4 P 0.2500 0.8699 0.0679
P5 P 0.2500 0.9439 0.6608
P6 P 0.7500 0.0561 0.3392
P7 P 0.7500 0.1301 0.9321
P8 P 0.7500 0.3699 0.9321
P9 P 0.7500 0.4439 0.3392
P10 P 0.7500 0.7500 0.3855
```

The total energy is -17.318 eV per atom. For the total magnetic moment, the calculation gives 3.381 μB/f.u. The energy of formation comes out at -0.64 eV/atom. The density of states at the Fermi level comes out at 15.52 states/eV per cell. The space-group type is Pmmn, No. 59.

=====

Record 4
VASP calculation (SCAN) on a PBEsol-optimized structure of TaH2Pd2.

CIF file:
```
data_TaH2Pd2
_chemical_formula_sum 'Ta2 H4 Pd4'
_cell_length_a 5.4348
_cell_length_b 5.4348
_cell_length_c 3.7461
_cell_angle_alpha 90.00
_cell_angle_beta 90.00
_cell_angle_gamma 90.00
_symmetry_space_group_name_H-M 'P 1'
_symmetry_Int_Tables_number 1
_symmetry_space_group_name_Hall 'P 1'
loop_
_atom_site_label
_atom_site_type_symbol
_atom_site_fract_x
_atom_site_fract_y
_atom_site_fract_z
Ta1 Ta 0.0000 0.0000 0.0000
Ta2 Ta 0.5000 0.5000 0.0000
H1 H 0.1606 0.3394 0.0000
H2 H 0.3394 0.8394 0.0000
H3 H 0.6606 0.1606 0.0000
H4 H 0.8394 0.6606 0.0000
Pd1 Pd 0.1708 0.3292 0.5000
Pd2 Pd 0.3292 0.8292 0.5000
Pd3 Pd 0.6708 0.1708 0.5000
Pd4 Pd 0.8292 0.6708 0.5000
```

The total energy is -27.843 eV per atom. For the total magnetic moment, the calculation gives 0.000 μB/f.u. The density of states at the Fermi level comes out at 4.15 states/eV per cell. The space-group type is P4/mbm, No. 127.

=====

Record 5
VASP calculation (SCAN) on a PBEsol-optimized structure of Cr2CdPb.

CIF file:
```
data_Cr2CdPb
_chemical_formula_sum 'Cr2 Cd1 Pb1'
_cell_length_a 3.1375
_cell_length_b 3.8370
_cell_length_c 6.2040
_cell_angle_alpha 90.00
_cell_angle_beta 90.00
_cell_angle_gamma 90.00
_symmetry_space_group_name_H-M 'P 1'
_symmetry_Int_Tables_number 1
_symmetry_space_group_name_Hall 'P 1'
loop_
_atom_site_label
_atom_site_type_symbol
_atom_site_fract_x
_atom_site_fract_y
_atom_site_fract_z
Cr1 Cr 0.0000 0.0000 0.2423
Cr2 Cr 0.0000 0.0000 0.7577
Cd1 Cd 0.5000 0.5000 0.0000
Pb1 Pb 0.5000 0.5000 0.5000
```

The total energy is -35.450 eV per atom. For the total magnetic moment, the calculation gives 7.811 μB/f.u. The energy of formation comes out at 0.29 eV/atom. The density of states at the Fermi level comes out at 2.38 states/eV per cell. The space-group type is Pmmm, No. 47.

=====

Record 6
VASP calculation (SCAN) on a PBEsol-optimized structure of CdMoOs2.

CIF file:
```
data_CdMoOs2
_chemical_formula_sum 'Cd1 Mo1 Os2'
_cell_length_a 5.2895
_cell_length_b 5.2895
_cell_length_c 5.2895
_cell_angle_alpha 146.59
_cell_angle_beta 129.92
_cell_angle_gamma 61.54
_symmetry_space_group_name_H-M 'P 1'
_symmetry_Int_Tables_number 1
_symmetry_space_group_name_Hall 'P 1'
loop_
_atom_site_label
_atom_site_type_symbol
_atom_site_fract_x
_atom_site_fract_y
_atom_site_fract_z
Cd1 Cd 0.0000 0.0000 0.0000
Mo1 Mo 0.2635 0.7635 0.5000
Os1 Os 0.4989 0.4989 0.0000
Os2 Os 0.7425 0.2425 0.5000
```

The total energy is -51.684 eV per atom. For the total magnetic moment, the calculation gives 0.000 μB/f.u. The energy of formation comes out at 0.58 eV/atom. The density of states at the Fermi level comes out at 2.95 states/eV per cell. The space-group type is Imm2, No. 44.

=====

Record 7
VASP calculation (SCAN) on a PBEsol-optimized structure of MgIn2Os.

CIF file:
```
data_MgIn2Os
_chemical_formula_sum 'Mg1 In2 Os1'
_cell_length_a 5.5299
_cell_length_b 5.5299
_cell_length_c 3.0885
_cell_angle_alpha 105.07
_cell_angle_beta 105.07
_cell_angle_gamma 115.15
_symmetry_space_group_name_H-M 'P 1'
_symmetry_Int_Tables_number 1
_symmetry_space_group_name_Hall 'P 1'
loop_
_atom_site_label
_atom_site_type_symbol
_atom_site_fract_x
_atom_site_fract_y
_atom_site_fract_z
Mg1 Mg 0.0000 0.0000 0.0000
In1 In 0.0000 0.5000 0.5000
In2 In 0.5000 0.0000 0.5000
Os1 Os 0.5000 0.5000 0.0000
```

The total energy is -35.544 eV per atom. For the total magnetic moment, the calculation gives 0.367 μB/f.u. The energy of formation comes out at 0.36 eV/atom. The density of states at the Fermi level comes out at 1.69 states/eV per cell. The space-group type is C2/m, No. 12.

=====

Record 8
VASP calculation (SCAN) on a PBEsol-optimized structure of NaBiSe2.

CIF file:
```
data_NaBiSe2
_chemical_formula_sum 'Na1 Bi1 Se2'
_cell_length_a 7.4306
_cell_length_b 7.4306
_cell_length_c 7.4306
_cell_angle_alpha 32.55
_cell_angle_beta 32.55
_cell_angle_gamma 32.55
_symmetry_space_group_name_H-M 'P 1'
_symmetry_Int_Tables_number 1
_symmetry_space_group_name_Hall 'P 1'
loop_
_atom_site_label
_atom_site_type_symbol
_atom_site_fract_x
_atom_site_fract_y
_atom_site_fract_z
Na1 Na 0.0000 0.0000 0.0000
Bi1 Bi 0.5000 0.5000 0.5000
Se1 Se 0.2466 0.2466 0.2466
Se2 Se 0.7534 0.7534 0.7534
```

The total energy is -31.511 eV per atom. For the total magnetic moment, the calculation gives 0.000 μB/f.u. The space-group type is R-3m, No. 166.

=====

Record 9
VASP calculation (SCAN) on a PBEsol-optimized structure of YTlSeN2.

CIF file:
```
data_YTlSeN2
_chemical_formula_sum 'Y1 Tl1 Se1 N2'
_cell_length_a 4.1902
_cell_length_b 4.1902
_cell_length_c 5.5066
_cell_angle_alpha 90.00
_cell_angle_beta 90.00
_cell_angle_gamma 90.00
_symmetry_space_group_name_H-M 'P 1'
_symmetry_Int_Tables_number 1
_symmetry_space_group_name_Hall 'P 1'
loop_
_atom_site_label
_atom_site_type_symbol
_atom_site_fract_x
_atom_site_fract_y
_atom_site_fract_z
Y1 Y 0.0000 0.0000 0.0000
Tl1 Tl 0.5000 0.5000 0.5000
Se1 Se 0.5000 0.5000 0.0000
N1 N 0.0000 0.5000 0.5000
N2 N 0.5000 0.0000 0.5000
```

The total energy is -27.016 eV per atom. For the total magnetic moment, the calculation gives 1.374 μB/f.u. The density of states at the Fermi level comes out at 2.33 states/eV per cell. The space-group type is P4/mmm, No. 123.

=====

Record 10
VASP calculation (SCAN) on a PBEsol-optimized structure of MgTc2Ag.

CIF file:
```
data_MgTc2Ag
_chemical_formula_sum 'Mg1 Tc2 Ag1'
_cell_length_a 2.7042
_cell_length_b 4.4847
_cell_length_c 5.0791
_cell_angle_alpha 90.00
_cell_angle_beta 90.00
_cell_angle_gamma 90.00
_symmetry_space_group_name_H-M 'P 1'
_symmetry_Int_Tables_number 1
_symmetry_space_group_name_Hall 'P 1'
loop_
_atom_site_label
_atom_site_type_symbol
_atom_site_fract_x
_atom_site_fract_y
_atom_site_fract_z
Mg1 Mg 0.0000 0.0000 0.0000
Tc1 Tc 0.5000 0.5000 0.2283
Tc2 Tc 0.5000 0.5000 0.7717
Ag1 Ag 0.0000 0.0000 0.5000
```

The total energy is -26.262 eV per atom. For the total magnetic moment, the calculation gives 0.000 μB/f.u. The energy of formation comes out at 0.35 eV/atom. The density of states at the Fermi level comes out at 2.79 states/eV per cell. The space-group type is Pmmm, No. 47.

=====

Record 11
VASP calculation (SCAN) on a PBEsol-optimized structure of YPb.

CIF file:
```
data_YPb
_chemical_formula_sum 'Y12 Pb12'
_cell_length_a 10.4711
_cell_length_b 9.5312
_cell_length_c 6.5259
_cell_angle_alpha 90.00
_cell_angle_beta 90.00
_cell_angle_gamma 90.00
_symmetry_space_group_name_H-M 'P 1'
_symmetry_Int_Tables_number 1
_symmetry_space_group_name_Hall 'P 1'
loop_
_atom_site_label
_atom_site_type_symbol
_atom_site_fract_x
_atom_site_fract_y
_atom_site_fract_z
Y1 Y 0.1068 0.2500 0.0000
Y2 Y 0.1068 0.2500 0.5000
Y3 Y 0.1845 0.6298 0.2500
Y4 Y 0.1845 0.8702 0.7500
Y5 Y 0.3896 0.0319 0.2500
Y6 Y 0.3896 0.4681 0.7500
Y7 Y 0.6104 0.5319 0.2500
Y8 Y 0.6104 0.9681 0.7500
Y9 Y 0.8155 0.1298 0.2500
Y10 Y 0.8155 0.3702 0.7500
Y11 Y 0.8932 0.7500 0.0000
Y12 Y 0.8932 0.7500 0.5000
Pb1 Pb 0.0898 0.5509 0.7500
Pb2 Pb 0.0898 0.9491 0.2500
Pb3 Pb 0.3404 0.1351 0.7500
Pb4 Pb 0.3404 0.3649 0.2500
Pb5 Pb 0.4169 0.7500 0.0000
Pb6 Pb 0.4169 0.7500 0.5000
Pb7 Pb 0.5831 0.2500 0.0000
Pb8 Pb 0.5831 0.2500 0.5000
Pb9 Pb 0.6596 0.6351 0.7500
Pb10 Pb 0.6596 0.8649 0.2500
Pb11 Pb 0.9102 0.0509 0.7500
Pb12 Pb 0.9102 0.4491 0.2500
```

The total energy is -52.599 eV per atom. For the total magnetic moment, the calculation gives 0.000 μB/f.u. The energy of formation comes out at -0.79 eV/atom. The density of states at the Fermi level comes out at 12.66 states/eV per cell. The space-group type is Pbcm, No. 57.